Here is an optimized crystal structure of TiCrMoAs2 from Alexandria via LeMat-Bulk. Energies are from GGA-PBE.

Output
symmetry: P4/mmm, No. 123
calculated formation energy: 1184.4 meV per atom
calculated volume: 108.5 Å³ per cell
calculated density: 5.3 Mg/m³

Geometry as POSCAR:
```
TiCrMoAs2
1.0
-2.3262 3.8392 1.7351
-3.9326 -1.4345 -2.0984
-1.1889 -2.4996 3.9369
Cr Mo As Ti
1 1 2 1
Direct
0.5000 0.5000 0.5000 Cr
0.0000 0.0000 0.0000 Mo
0.0000 0.0000 0.5000 As
0.5000 0.0000 0.0000 As
0.0000 0.5000 0.0000 Ti
```